(1)
# PBE Y6RhI10, relaxed
# magnetization	0.06	μB per atom
# formation energy from raw total energies	-1.242	eV/atom
data_Y6RhI10
_chemical_formula_sum 'Y6 Rh1 I10'
_space_group_name_H-M_alt 'P -1'
_space_group_IT_number 2
_cell_length_a 7.751
_cell_length_b 9.696
_cell_length_c 9.766
_cell_angle_alpha 107.03
_cell_angle_beta 96.61
_cell_angle_gamma 104.23
loop_
_space_group_symop_operation_xyz
'x,y,z'
'-x,-y,-z'
loop_
_atom_site_label
_atom_site_type_symbol
_atom_site_fract_x
_atom_site_fract_y
_atom_site_fract_z
Y1 Y 0.034 0.219 0.418
Y2 Y 0.116 0.544 0.259
Y3 Y 0.348 0.624 0.666
Rh1 Rh 0.000 0.500 0.500
I1 I 0.088 0.875 0.321
I2 I 0.227 0.245 0.156
I3 I 0.255 0.586 0.962
I4 I 0.344 0.949 0.773
I5 I 0.454 0.315 0.592



(2)
# PBE YRh3I, relaxed
# magnetization	0.25	μB per atom
# formation energy from raw total energies	1.121	eV/atom
data_YRh3I
_chemical_formula_sum 'Y1 Rh3 I1'
_space_group_name_H-M_alt 'P m -3 m'
_space_group_IT_number 221
_space_group_name_Hall '-P 4 2 3'
_cell_length_a 5.004
_cell_length_b 5.004
_cell_length_c 5.004
_cell_angle_alpha 90.00
_cell_angle_beta 90.00
_cell_angle_gamma 90.00
loop_
_atom_site_label
_atom_site_type_symbol
_atom_site_fract_x
_atom_site_fract_y
_atom_site_fract_z
Y1 Y 0.000 0.000 0.000
Rh1 Rh 0.000 0.000 0.500
I1 I 0.500 0.500 0.500



(3)
# PBE YRhI, relaxed
# magnetization	0.00	μB per atom
# formation energy from raw total energies	-0.903	eV/atom
data_YRhI
_chemical_formula_sum 'Y2 Rh2 I2'
_space_group_name_H-M_alt 'P -1'
_space_group_IT_number 2
_cell_length_a 3.860
_cell_length_b 4.120
_cell_length_c 10.834
_cell_angle_alpha 93.88
_cell_angle_beta 100.04
_cell_angle_gamma 90.01
loop_
_space_group_symop_operation_xyz
'x,y,z'
'-x,-y,-z'
loop_
_atom_site_label
_atom_site_type_symbol
_atom_site_fract_x
_atom_site_fract_y
_atom_site_fract_z
Y1 Y 0.073 0.269 0.149
Rh1 Rh 0.460 0.228 0.919
I1 I 0.335 0.293 0.664



(4)
# PBE Y2ZrRhI, relaxed
# magnetization	0.00	μB per atom
# formation energy from raw total energies	0.794	eV/atom
data_Y2ZrRhI
_chemical_formula_sum 'Y2 Zr1 Rh1 I1'
_space_group_name_H-M_alt 'P 4/m m m'
_space_group_IT_number 123
_space_group_name_Hall '-P 4 2'
_cell_length_a 5.478
_cell_length_b 5.478
_cell_length_c 5.186
_cell_angle_alpha 90.00
_cell_angle_beta 90.00
_cell_angle_gamma 90.00
loop_
_atom_site_label
_atom_site_type_symbol
_atom_site_fract_x
_atom_site_fract_y
_atom_site_fract_z
Y1 Y 0.000 0.500 0.000
Zr1 Zr 0.000 0.000 0.500
Rh1 Rh 0.500 0.500 0.500
I1 I 0.000 0.000 0.000



(5)
# PBE Zn2RhI, relaxed
# magnetization	0.00	μB per atom
# formation energy from raw total energies	0.506	eV/atom
data_Zn2RhI
_chemical_formula_sum 'Zn8 Rh4 I4'
_space_group_name_H-M_alt 'F m -3 m'
_space_group_IT_number 225
_space_group_name_Hall '-F 4 2 3'
_cell_length_a 6.663
_cell_length_b 6.663
_cell_length_c 6.663
_cell_angle_alpha 90.00
_cell_angle_beta 90.00
_cell_angle_gamma 90.00
loop_
_atom_site_label
_atom_site_type_symbol
_atom_site_fract_x
_atom_site_fract_y
_atom_site_fract_z
Zn1 Zn 0.250 0.250 0.250
Rh1 Rh 0.000 0.000 0.000
I1 I 0.000 0.000 0.500



(6)
# PBE ZnRhI2, relaxed
# magnetization	0.00	μB per atom
# formation energy from raw total energies	0.192	eV/atom
data_ZnRhI2
_chemical_formula_sum 'Zn4 Rh4 I8'
_space_group_name_H-M_alt 'I -4 2 d'
_space_group_IT_number 122
_space_group_name_Hall 'I -4 2bw'
_cell_length_a 6.240
_cell_length_b 6.240
_cell_length_c 12.291
_cell_angle_alpha 90.00
_cell_angle_beta 90.00
_cell_angle_gamma 90.00
loop_
_atom_site_label
_atom_site_type_symbol
_atom_site_fract_x
_atom_site_fract_y
_atom_site_fract_z
Zn1 Zn 0.000 0.000 0.000
Rh1 Rh 0.000 0.000 0.500
I1 I 0.233 0.250 0.625



- Among the records above, which one has the lowest formation energy from raw total energies?
  Y6RhI10



- Which value of magnetization does entry 3 give?
  0.00 μB per atom



- Which value of magnetization does entry 2 give?
  0.25 μB per atom